[1]
TmAlOs: optimized geometry, GGA-PBE.

Summary:
The value obtained for the final energy is -39.90 eV/cell. The formation energy comes out at -0.5 eV/f.u.

a b c (Å): 6.5131 4.9875 5.6171
angles (deg): 75.52 47.86 56.62
Atoms (fractional coordinates):
Tm1 0.0000 0.0000 0.0000
Tm2 0.2500 0.2500 0.2500
Al1 0.6423 0.6423 0.3577
Al2 0.8923 0.8923 0.6077
Os1 0.3365 0.3365 0.6635
Os2 0.5865 0.5865 0.9135

[2]
Th2GaHgIr: optimized geometry, GGA-PBE.

Summary:
The value obtained for the final energy is -58.96 eV/cell. The formation energy comes out at -2.5 eV/f.u.

a b c (Å): 7.2205 4.2862 8.5910
angles (deg): 90.00 100.98 90.00
Atoms (fractional coordinates):
Th1 0.1277 0.2500 0.3733
Th2 0.2278 0.2500 0.9648
Th3 0.7722 0.7500 0.0352
Th4 0.8723 0.7500 0.6267
Ga1 0.4814 0.7500 0.3910
Ga2 0.5186 0.2500 0.6090
Hg1 0.3251 0.7500 0.7056
Hg2 0.6749 0.2500 0.2944
Ir1 0.1840 0.7500 0.1763
Ir2 0.8160 0.2500 0.8237

[3]
Rb2PPtAu: optimized geometry, GGA-PBE.

Summary:
The value obtained for the final energy is -14.94 eV/cell. The formation energy comes out at 1.7 eV/f.u. The relative energy among the computed polymorphs is 0.588 eV per atom.

a b c (Å): 6.6533 6.6533 4.4274
angles (deg): 90.00 90.00 90.00
Atoms (fractional coordinates):
Rb1 0.0000 0.5000 0.0000
Rb2 0.5000 0.0000 0.0000
P1 0.0000 0.0000 0.5000
Pt1 0.5000 0.5000 0.5000
Au1 0.0000 0.0000 0.0000

[4]
CsSrHg10: optimized geometry, GGA-PBE.

Summary:
The value obtained for the final energy is -7.70 eV/cell. The formation energy comes out at -2.1 eV/f.u.

a b c (Å): 5.5352 6.2125 10.9992
angles (deg): 90.00 90.00 90.00
Atoms (fractional coordinates):
Cs1 0.0000 0.0000 0.0000
Sr1 0.0000 0.5000 0.5000
Hg1 0.0000 0.0000 0.3471
Hg2 0.0000 0.0000 0.6529
Hg3 0.0000 0.5000 0.1873
Hg4 0.0000 0.5000 0.8127
Hg5 0.5000 0.0000 0.5000
Hg6 0.5000 0.2546 0.2587
Hg7 0.5000 0.2546 0.7413
Hg8 0.5000 0.5000 0.0000
Hg9 0.5000 0.7454 0.2587
Hg10 0.5000 0.7454 0.7413

[5]
Tb3DyCo: optimized geometry, GGA-PBE.

Summary:
The value obtained for the final energy is -52.24 eV/cell. The formation energy comes out at -0.5 eV/f.u. The relative energy among the computed polymorphs is 0.000 eV per atom.

a b c (Å): 7.1428 7.1428 8.1673
angles (deg): 124.79 124.79 71.10
Atoms (fractional coordinates):
Tb1 0.0472 0.0472 0.3405
Tb2 0.0475 0.4530 0.2068
Tb3 0.4530 0.0475 0.2068
Tb4 0.5470 0.9525 0.7932
Tb5 0.9525 0.5470 0.7932
Tb6 0.9528 0.9528 0.6595
Dy1 0.4530 0.4530 0.7477
Dy2 0.5470 0.5470 0.2523
Co1 0.2501 0.2501 0.8734
Co2 0.7499 0.7499 0.1266

[6]
LaSbRu2N: optimized geometry, GGA-PBE.

Summary:
The value obtained for the final energy is -77.64 eV/cell. The calculation puts the formation energy without anion corrections at -579 meV per atom.

a b c (Å): 6.2899 6.2899 7.5263
angles (deg): 90.00 90.00 142.11
Atoms (fractional coordinates):
La1 0.0473 0.9527 0.7500
La2 0.9527 0.0473 0.2500
Sb1 0.2291 0.7709 0.2500
Sb2 0.7709 0.2291 0.7500
Ru1 0.3471 0.6529 0.5502
Ru2 0.3471 0.6529 0.9498
Ru3 0.6529 0.3471 0.0502
Ru4 0.6529 0.3471 0.4498
N1 0.5000 0.5000 0.0000
N2 0.5000 0.5000 0.5000

Number 1: mass density 11.568 g cm⁻³. Number 2: mass density 11.790 g cm⁻³. Number 3: mass density 5.032 g cm⁻³. Number 4: mass density 9.775 g cm⁻³. Number 5: mass density 8.251 g cm⁻³. Number 6: mass density 8.659 g cm⁻³.